## HfFe2NiO6 (GGA+U)

Data for an optimized crystal structure of HfFe2NiO6.

Geometry as POSCAR:
```
HfFe2NiO6
1.0
-0.105 -4.912 1.525
2.574 -1.440 4.215
-2.944 -1.229 4.517
Ni O Fe Hf
1 6 2 1
Direct
0.812 0.812 0.565
0.731 0.123 0.752
0.123 0.394 0.752
0.902 0.627 0.242
0.394 0.731 0.752
0.627 0.229 0.242
0.229 0.902 0.242
0.517 0.517 0.448
0.014 0.014 0.959
0.312 0.312 0.063
```

Results
DOS at the Fermi energy   0.000 states/eV/cell
Symmetry   No. 146
Total DFT energy (no corrections)   -71.526 eV for the cell shown